(1)
## CaAc2CeHg4 (PBE)

Data for an optimized crystal structure of CaAc2CeHg4.

Geometry as extended XYZ:
```
8
Lattice="2.793 1.612 9.129 -2.793 1.612 9.129 0.000 -3.225 9.129" Properties=species:S:1:pos:R:3 pbc="T T T"
Ca 0.000 0.000 0.000
Ac 0.000 0.000 6.876
Ac 0.000 0.000 20.510
Ce 0.000 0.000 13.693
Hg 0.000 0.000 3.433
Hg 0.000 0.000 10.291
Hg 0.000 0.000 17.095
Hg 0.000 0.000 23.953
```

Computed properties:
Total magnetic moment   1.46 Bohr magnetons per cell
E_form   -3.6 eV/f.u.
Volume   246.7 Å³/cell
Crystal system   trigonal

***

(2)
## Mg2HgBr (PBE)

Data for an optimized crystal structure of Mg2HgBr.

Geometry as extended XYZ:
```
4
Lattice="3.601 0.000 0.000 0.000 4.623 0.000 0.000 0.000 6.254" Properties=species:S:1:pos:R:3 pbc="T T T"
Mg 0.000 0.000 0.000
Mg 1.800 0.000 3.127
Hg 0.000 2.312 3.127
Br 1.800 2.312 0.000
```

Computed properties:
Total magnetic moment   0.00 Bohr magnetons per cell
Volume   104.1 Å³/cell
Crystal system   orthorhombic
Uncorrected formation energy   -0.26 eV per atom
Offset from the most stable computed form   228.1 meV per atom

***

(3)
## Ti2CrAg2S6 (PBE)

Data for an optimized crystal structure of Ti2CrAg2S6.

Geometry as extended XYZ:
```
11
Lattice="2.958 -5.176 0.000 2.958 5.176 0.000 -1.581 0.000 7.514" Properties=species:S:1:pos:R:3 pbc="T T T"
Ti 2.958 3.559 0.000
Ti 2.958 -3.559 0.000
Cr 2.958 0.000 0.000
Ag 2.167 1.622 3.757
Ag 2.167 -1.622 3.757
S -0.555 0.000 6.085
S 2.012 1.708 1.380
S 2.322 1.708 6.134
S 2.012 -1.708 1.380
S 2.322 -1.708 6.134
S 4.889 0.000 1.430
```

Computed properties:
Total magnetic moment   1.97 Bohr magnetons per cell
Volume   230.1 Å³/cell
Crystal system   monoclinic
Uncorrected formation energy   -0.84 eV per atom

***

(4)
## La2HoPd (PBE)

Data for an optimized crystal structure of La2HoPd.

Geometry as extended XYZ:
```
12
Lattice="3.726 0.000 0.000 -1.863 3.227 0.000 0.000 0.000 32.270" Properties=species:S:1:pos:R:3 pbc="T T T"
La 0.000 0.000 3.370
La 0.000 0.000 28.900
La 0.000 2.151 18.143
La 0.000 2.151 24.884
La 1.863 1.076 7.386
La 1.863 1.076 14.127
Ho 0.000 0.000 0.000
Ho 0.000 2.151 21.513
Ho 1.863 1.076 10.757
Pd 0.000 0.000 16.135
Pd 0.000 2.151 5.378
Pd 1.863 1.076 26.892
```

Computed properties:
Total magnetic moment   0.00 Bohr magnetons per cell
E_form   -0.3 eV/f.u.
Volume   388.1 Å³/cell
Crystal system   trigonal
Offset from the most stable computed form   353.1 meV per atom

***

(5)
## SmHo5Cd3 (PBE)

Data for an optimized crystal structure of SmHo5Cd3.

Geometry as extended XYZ:
```
18
Lattice="9.163 0.000 0.000 -4.581 7.935 0.000 0.000 0.000 6.945" Properties=species:S:1:pos:R:3 pbc="T T T"
Sm 0.000 0.000 0.000
Sm 0.000 0.000 3.472
Ho -1.529 2.648 1.736
Ho -3.053 5.287 5.209
Ho 0.000 5.290 0.000
Ho 0.000 5.290 3.472
Ho 3.058 0.000 1.736
Ho 1.529 2.648 5.209
Ho 6.105 0.000 5.209
Ho 3.053 5.287 1.736
Ho 4.581 2.645 0.000
Ho 4.581 2.645 3.472
Cd -1.538 2.664 5.209
Cd -3.044 5.272 1.736
Cd 3.076 0.000 5.209
Cd 1.538 2.664 1.736
Cd 6.087 0.000 1.736
Cd 3.044 5.272 5.209
```

Computed properties:
Total magnetic moment   0.00 Bohr magnetons per cell
E_form   -1.6 eV/f.u.
Volume   505.0 Å³/cell
Crystal system   hexagonal

***

(6)
## YZnIrRu (PBE)

Data for an optimized crystal structure of YZnIrRu.

Geometry as extended XYZ:
```
4
Lattice="3.122 0.000 0.000 -1.540 4.442 0.000 -0.024 -1.293 5.037" Properties=species:S:1:pos:R:3 pbc="T T T"
Y 0.000 0.000 0.000
Zn 1.548 -0.638 2.541
Ir 1.558 1.939 1.522
Ru -0.001 1.221 3.542
```

Computed properties:
Total magnetic moment   0.00 Bohr magnetons per cell
E_form   -0.6 eV/f.u.
Volume   69.8 Å³/cell
Crystal system   triclinic
Offset from the most stable computed form   153.4 meV per atom